{"formula": "Ca2Er2Cd15", "functional": "PBE-GGA", "state": "optimized geometry", "lattice": [[7.9630, 0.3251, 0.2897], [1.3555, 7.8535, 0.2897], [1.3555, 1.1897, 7.7683]], "species": ["Ca", "Ca", "Er", "Er", "Cd", "Cd", "Cd", "Cd", "Cd", "Cd", "Cd", "Cd", "Cd", "Cd", "Cd", "Cd", "Cd", "Cd", "Cd"], "fractional_positions": [[0.3256, 0.3256, 0.3256], [0.6744, 0.6744, 0.6744], [0.0959, 0.0959, 0.0959], [0.9041, 0.9041, 0.9041], [0.5000, 0.0000, 0.0000], [0.0000, 0.0000, 0.5000], [0.0000, 0.5000, 0.0000], [0.0000, 0.7041, 0.2959], [0.7041, 0.2959, 0.0000], [0.2959, 0.0000, 0.7041], [0.2959, 0.7041, 0.0000], [0.7041, 0.0000, 0.2959], [0.0000, 0.2959, 0.7041], [0.1447, 0.6315, 0.6315], [0.6315, 0.6315, 0.1447], [0.6315, 0.1447, 0.6315], [0.8553, 0.3685, 0.3685], [0.3685, 0.3685, 0.8553], [0.3685, 0.8553, 0.3685]], "magnetic_moment_mub_per_fu": 0.000, "sg": "R-3m (166)", "density_g_cm3": 7.31, "formation_energy_mev_per_atom": -138, "energy_ev_per_cell": -29.48, "crystal_system": "trigonal"}